Compound: K2LaRu
Source: the Alexandria database
Functional: meta-GGA SCAN
Structure: single point on PBEsol structure

As for the calculated density: 4.9 g cm⁻³. Its crystal system is cubic. The energy of formation comes out at 123.2 kJ/mol of atoms. The calculation puts the size of the total moment at 0.0 μB/f.u. The energy above the lowest structure with this stoichiometry is 550 meV/atom.

Cell and atoms, written as POSCAR:
```
K2LaRu
1.0
0.000 3.789 3.789
3.789 0.000 3.789
3.789 3.789 0.000
K La Ru
2 1 1
Direct
0.250 0.250 0.250
0.750 0.750 0.750
0.000 0.000 0.000
0.500 0.500 0.500
```



Compound: AlHgSe
Source: the Alexandria database
Functional: meta-GGA SCAN
Structure: single point on PBEsol structure

Its uncorrected formation energy is 0.46 eV per formula unit. As for the calculated density: 8.1 g cm⁻³. Its crystal system is trigonal. The calculation puts the size of the total moment at 0.0 μB/f.u. The energy above the lowest structure with this stoichiometry is 0 meV/atom.

Cell and atoms, written as POSCAR:
```
AlHgSe
1.0
5.169 0.000 0.000
-2.584 4.476 0.000
0.000 0.000 2.729
Al Hg Se
1 1 1
Direct
0.000 0.000 0.000
0.667 0.333 0.563
0.333 0.667 0.997
```



Compound: LiZrSc2
Source: the Alexandria database
Functional: meta-GGA SCAN
Structure: single point on PBEsol structure

As for the calculated density: 3.7 g cm⁻³. Its crystal system is orthorhombic. The energy of formation comes out at 13.7 kJ/mol of atoms. The calculation puts the size of the total moment at 0.0 μB/f.u. The energy above the lowest structure with this stoichiometry is 69 meV/atom.

Cell and atoms, written as POSCAR:
```
LiZrSc2
1.0
-1.665 2.461 5.134
1.665 -2.461 5.134
1.665 2.461 -5.134
Li Zr Sc
1 1 2
Direct
0.000 0.000 0.000
0.773 0.273 0.500
0.221 0.721 0.500
0.500 0.500 0.000
```



Compound: Li3Fe2P3O12
Source: the Alexandria database
Functional: meta-GGA SCAN
Structure: single point on PBEsol structure

Its uncorrected formation energy is -46.68 eV per formula unit. As for the calculated density: 3.4 g cm⁻³. Its crystal system is monoclinic. The calculation puts the size of the total moment at 10.0 μB/f.u.

Cell and atoms, written as POSCAR:
```
Li3Fe2P3O12
1.0
5.722 -6.234 0.000
5.722 6.234 0.000
-2.646 0.000 5.773
Li Fe P O
6 4 6 24
Direct
0.000 0.000 0.000
0.000 0.000 0.500
0.211 0.789 0.750
0.460 0.540 0.750
0.540 0.460 0.250
0.789 0.211 0.250
0.134 0.442 0.871
0.442 0.134 0.371
0.558 0.866 0.629
0.866 0.558 0.129
0.162 0.370 0.370
0.206 0.794 0.250
0.370 0.162 0.870
0.630 0.838 0.130
0.794 0.206 0.750
0.838 0.630 0.630
0.025 0.765 0.259
0.040 0.209 0.304
0.108 0.458 0.183
0.173 0.499 0.608
0.209 0.040 0.804
0.230 0.680 0.028
0.235 0.975 0.241
0.320 0.770 0.472
0.345 0.349 0.904
0.349 0.345 0.404
0.458 0.108 0.683
0.499 0.173 0.108
0.501 0.827 0.892
0.542 0.892 0.317
0.651 0.655 0.596
0.655 0.651 0.096
0.680 0.230 0.528
0.765 0.025 0.759
0.770 0.320 0.972
0.791 0.960 0.196
0.827 0.501 0.392
0.892 0.542 0.817
0.960 0.791 0.696
0.975 0.235 0.741
```



- Among the records above, which one has the lowest calculated density?
  Li3Fe2P3O12



Please write out number 2 again, unchanged.
Compound: AlHgSe
Source: the Alexandria database
Functional: meta-GGA SCAN
Structure: single point on PBEsol structure

Its uncorrected formation energy is 0.46 eV per formula unit. As for the calculated density: 8.1 g cm⁻³. Its crystal system is trigonal. The calculation puts the size of the total moment at 0.0 μB/f.u. The energy above the lowest structure with this stoichiometry is 0 meV/atom.

Cell and atoms, written as POSCAR:
```
AlHgSe
1.0
5.169 0.000 0.000
-2.584 4.476 0.000
0.000 0.000 2.729
Al Hg Se
1 1 1
Direct
0.000 0.000 0.000
0.667 0.333 0.563
0.333 0.667 0.997
```



- size of the total moment of number 3 (LiZrSc2)?
  0.0 μB/f.u.